Model i:
The following is a PBE calculation of an optimized crystal structure of Na2AlNi2, from Alexandria.

```
Na2AlNi2
1.0
-1.7411 1.7411 6.7933
1.7411 -1.7411 6.7933
1.7411 1.7411 -6.7933
Na Al Ni
2 1 2
Direct
0.2500 0.7500 0.5000
0.7500 0.2500 0.5000
0.0000 0.0000 0.0000
0.4170 0.4170 0.0000
0.5830 0.5830 0.0000
```

Computed properties:
As for the space group: I4/mmm (139).


Model ii:
The following is a PBE calculation of an optimized crystal structure of Na2AlNi2, from Alexandria.

```
Na2AlNi2
1.0
6.0078 0.0000 0.0000
0.0000 6.0078 0.0000
0.0000 0.0000 4.9656
Na Al Ni
4 2 4
Direct
0.1761 0.3239 0.0000
0.3239 0.8239 0.0000
0.6761 0.1761 0.0000
0.8239 0.6761 0.0000
0.0000 0.0000 0.5000
0.5000 0.5000 0.5000
0.1348 0.6348 0.5000
0.3652 0.1348 0.5000
0.6348 0.8652 0.5000
0.8652 0.3652 0.5000
```

Computed properties:
As for the space group: P4/mbm (127).


Each structure's energy above the most stable one, in eV/atom: model i 0.389; model ii 0.000.


Model i:
The following is a PBE calculation of an optimized crystal structure of Na2AlSiNi, from Alexandria.

```
Na2AlSiNi
1.0
5.4015 0.0000 0.0000
0.0000 5.4015 0.0000
0.0000 0.0000 4.3555
Na Al Si Ni
2 1 1 1
Direct
0.0000 0.5000 0.0000
0.5000 0.0000 0.0000
0.0000 0.0000 0.0000
0.5000 0.5000 0.5000
0.0000 0.0000 0.5000
```

Computed properties:
As for the space group: P4/mmm (123).


Model ii:
The following is a PBE calculation of an optimized crystal structure of Na2AlSiNi, from Alexandria.

```
Na2AlSiNi
1.0
5.4715 0.0000 0.0000
0.0000 5.4715 0.0000
0.0000 0.0000 4.2512
Na Al Si Ni
2 1 1 1
Direct
0.0000 0.5000 0.0000
0.5000 0.0000 0.0000
0.0000 0.0000 0.5000
0.5000 0.5000 0.0000
0.5000 0.5000 0.5000
```

Computed properties:
As for the space group: P4/mmm (123).


Each structure's energy above the most stable one, in eV/atom: model i 0.351; model ii 0.000.


Model i:
The following is a PBE calculation of an optimized crystal structure of NaAl3O, from Alexandria.

```
NaAl3O
1.0
5.1317 0.0000 0.0000
0.0000 5.1317 0.0000
0.0000 0.0000 5.1317
Na Al O
1 3 1
Direct
0.0000 0.0000 0.0000
0.0000 0.0000 0.5000
0.0000 0.5000 0.0000
0.5000 0.0000 0.0000
0.5000 0.5000 0.5000
```

Computed properties:
As for the space group: Pm-3m (221).


Model ii:
The following is a PBE calculation of an optimized crystal structure of NaAl3O, from Alexandria.

```
NaAl3O
1.0
4.4380 0.0000 0.0000
0.0000 4.4380 0.0000
0.0000 0.0000 4.4380
Na Al O
1 3 1
Direct
0.0000 0.0000 0.0000
0.0000 0.5000 0.5000
0.5000 0.0000 0.5000
0.5000 0.5000 0.0000
0.5000 0.5000 0.5000
```

Computed properties:
As for the space group: Pm-3m (221).


Each structure's energy above the most stable one, in eV/atom: model i 1.547; model ii 0.000.


Model i:
The following is a PBE calculation of an optimized crystal structure of NaAlPO2, from Alexandria.

```
NaAlPO2
1.0
3.9934 0.0000 0.0000
0.0000 3.9934 0.0000
0.0000 0.0000 5.1659
Na Al P O
1 1 1 2
Direct
0.0000 0.0000 0.0000
0.5000 0.5000 0.5000
0.0000 0.0000 0.5000
0.0000 0.5000 0.0000
0.5000 0.0000 0.0000
```

Computed properties:
As for the space group: P4/mmm (123).


Model ii:
The following is a PBE calculation of an optimized crystal structure of NaAlPO2, from Alexandria.

```
NaAlPO2
1.0
3.7006 0.0000 0.0000
0.0000 3.7006 0.0000
0.0000 0.0000 4.9973
Na Al P O
1 1 1 2
Direct
0.0000 0.0000 0.0000
0.5000 0.5000 0.5000
0.5000 0.5000 0.0000
0.0000 0.5000 0.5000
0.5000 0.0000 0.5000
```

Computed properties:
As for the space group: P4/mmm (123).


Each structure's energy above the most stable one, in eV/atom: model i 1.425; model ii 0.000.


Model i:
The following is a PBE calculation of an optimized crystal structure of Na2AlP2, from Alexandria.

```
Na2AlP2
1.0
-1.6694 1.6694 9.7855
1.6694 -1.6694 9.7855
1.6694 1.6694 -9.7855
Na Al P
2 1 2
Direct
0.1189 0.1189 0.0000
0.8811 0.8811 0.0000
0.5000 0.5000 0.0000
0.2500 0.7500 0.5000
0.7500 0.2500 0.5000
```

Computed properties:
As for the space group: I4/mmm (139).


Model ii:
The following is a PBE calculation of an optimized crystal structure of Na2AlP2, from Alexandria.

```
Na2AlP2
1.0
8.5153 0.0000 0.0000
0.0000 8.5153 0.0000
0.0000 0.0000 2.6874
Na Al P
4 2 4
Direct
0.1190 0.3810 0.0000
0.3810 0.8810 0.0000
0.6190 0.1190 0.0000
0.8810 0.6190 0.0000
0.0000 0.0000 0.0000
0.5000 0.5000 0.0000
0.1799 0.6799 0.5000
0.3201 0.1799 0.5000
0.6799 0.8201 0.5000
0.8201 0.3201 0.5000
```

Computed properties:
As for the space group: P4/mbm (127).


Each structure's energy above the most stable one, in eV/atom: model i 0.000; model ii 0.079.


Model i:
The following is a PBE calculation of an optimized crystal structure of Na2AlP2, from Alexandria.

```
Na2AlP2
1.0
5.3603 -3.5491 0.0000
5.3603 3.5491 0.0000
-1.5555 0.0000 5.5745
Na Al P
4 2 4
Direct
0.0287 0.2582 0.0728
0.2582 0.0287 0.5728
0.7418 0.9713 0.4272
0.9713 0.7418 0.9272
0.4777 0.5223 0.7500
0.5223 0.4777 0.2500
0.1735 0.5902 0.4152
0.4098 0.8265 0.0848
0.5902 0.1735 0.9152
0.8265 0.4098 0.5848
```

Computed properties:
As for the space group: C2/c (15).


Model ii:
The following is a PBE calculation of an optimized crystal structure of Na2AlP2, from Alexandria.

```
Na2AlP2
1.0
6.4205 0.0000 0.0000
0.0000 6.4205 0.0000
0.0000 0.0000 4.7563
Na Al P
4 2 4
Direct
0.1772 0.3228 0.0000
0.3228 0.8228 0.0000
0.6772 0.1772 0.0000
0.8228 0.6772 0.0000
0.0000 0.0000 0.5000
0.5000 0.5000 0.5000
0.1261 0.6261 0.5000
0.3739 0.1261 0.5000
0.6261 0.8739 0.5000
0.8739 0.3739 0.5000
```

Computed properties:
As for the space group: P4/mbm (127).


Each structure's energy above the most stable one, in eV/atom: model i 0.000; model ii 0.132.


Model i:
The following is a PBE calculation of an optimized crystal structure of NaAlP2S, from Alexandria.

```
NaAlP2S
1.0
4.6911 0.0000 0.0000
0.0000 4.6911 0.0000
0.0000 0.0000 4.8662
Na Al P S
1 1 2 1
Direct
0.0000 0.0000 0.0000
0.5000 0.5000 0.5000
0.0000 0.5000 0.5000
0.5000 0.0000 0.5000
0.5000 0.5000 0.0000
```

Computed properties:
As for the space group: P4/mmm (123).


Model ii:
The following is a PBE calculation of an optimized crystal structure of NaAlP2S, from Alexandria.

```
NaAlP2S
1.0
4.9043 0.0000 0.0000
0.0000 4.9043 0.0000
0.0000 0.0000 4.7677
Na Al P S
1 1 2 1
Direct
0.0000 0.0000 0.0000
0.5000 0.5000 0.5000
0.0000 0.5000 0.0000
0.5000 0.0000 0.0000
0.0000 0.0000 0.5000
```

Computed properties:
As for the space group: P4/mmm (123).


Each structure's energy above the most stable one, in eV/atom: model i 0.000; model ii 1.096.


Model i:
The following is a PBE calculation of an optimized crystal structure of Na3AlPb, from Alexandria.

```
Na3AlPb
1.0
5.6273 0.0000 0.0000
0.0000 5.6273 0.0000
0.0000 0.0000 5.6273
Na Al Pb
3 1 1
Direct
0.0000 0.0000 0.5000
0.0000 0.5000 0.0000
0.5000 0.0000 0.0000
0.0000 0.0000 0.0000
0.5000 0.5000 0.5000
```

Computed properties:
As for the space group: Pm-3m (221).


Model ii:
The following is a PBE calculation of an optimized crystal structure of Na3AlPb, from Alexandria.

```
Na3AlPb
1.0
5.8800 0.0000 0.0000
0.0000 5.8800 0.0000
0.0000 0.0000 5.8800
Na Al Pb
3 1 1
Direct
0.0000 0.0000 0.5000
0.0000 0.5000 0.0000
0.5000 0.0000 0.0000
0.5000 0.5000 0.5000
0.0000 0.0000 0.0000
```

Computed properties:
As for the space group: Pm-3m (221).


Each structure's energy above the most stable one, in eV/atom: model i 0.000; model ii 0.011.